(1)
Material: MgIr3O
Method: DFT, PBE-GGA
State: optimized geometry

a b c (Å): 4.1589 4.1589 4.1589
angles (deg): 90.00 90.00 90.00
With the nearest neighbours (Å) after each atom.
Sites, in units of the cell vectors:
Ir1 0.0000 0.0000 0.5000  2 O 2.08
Mg1 0.5000 0.5000 0.5000  12 Ir 2.94
Ir2 0.0000 0.5000 0.0000  2 O 2.08
O1 0.0000 0.0000 0.0000  6 Ir 2.08
Ir3 0.5000 0.0000 0.0000  2 O 2.08

Values from the calculation:
* formation energy (no corrections): 0.454 eV/atom
* crystal system: cubic
* energy above the lowest structure with this stoichiometry: 0.0 meV/atom


(2)
Material: CeNdTlOs
Method: DFT, PBE-GGA
State: optimized geometry

a b c (Å): 3.4106 3.4106 8.7304
angles (deg): 90.00 90.00 90.00
With the nearest neighbours (Å) after each atom.
Sites, in units of the cell vectors:
Nd1 0.5000 0.5000 0.7768  4 Os 3.05, 4 Nd 3.41
Ce1 0.5000 0.5000 0.3705  4 Os 2.94
Tl1 0.0000 0.0000 0.0752  4 Tl 3.41, 4 Ce 3.53, 4 Nd 3.55
Os1 0.0000 0.0000 0.5622  4 Ce 2.94, 4 Nd 3.05

Values from the calculation:
* crystal system: tetragonal
* DFT total energy: -6.2887 eV per atom


(3)
Material: KUCdTe3
Method: DFT, PBE-GGA
State: optimized geometry

a b c (Å): 4.5189 9.5772 10.8170
angles (deg): 107.95 90.00 90.00
With the nearest neighbours (Å) after each atom.
Sites, in units of the cell vectors:
Te1 0.2500 0.7664 0.4601  3 Cd 2.88-3.00
Te2 0.2500 0.5426 0.8379  3 U 3.10-3.12
Cd1 0.7500 0.9132 0.3896  4 Te 2.81-3.00
U1 0.7500 0.3285 0.8622  6 Te 3.10-3.32
K1 0.2500 0.2114 0.2395  7 Te 3.55-3.91
U2 0.2500 0.6715 0.1378  6 Te 3.10-3.32
K2 0.7500 0.7886 0.7605  7 Te 3.55-3.91
Te3 0.2500 0.0990 0.8734  1 Cd 2.81
Te4 0.7500 0.9010 0.1266  1 Cd 2.81
Te5 0.7500 0.4574 0.1621  3 U 3.10-3.12
Te6 0.7500 0.2336 0.5399  3 Cd 2.88-3.00
Cd2 0.2500 0.0868 0.6104  4 Te 2.81-3.00

Values from the calculation:
* formation energy (no corrections): -0.676 eV/atom
* crystal system: monoclinic


(4)
Material: NpNbVOs
Method: DFT, PBE-GGA
State: optimized geometry

a b c (Å): 4.5563 4.5563 4.5563
angles (deg): 60.00 60.00 60.00
With the nearest neighbours (Å) after each atom.
Sites, in units of the cell vectors:
V1 0.5000 0.5000 0.5000  4 Os 2.79, 4 Np 2.79
Os1 0.2500 0.2500 0.2500  4 Nb 2.79, 4 V 2.79
Np1 0.7500 0.7500 0.7500  4 Nb 2.79, 4 V 2.79
Nb1 0.0000 0.0000 0.0000  4 Os 2.79, 4 Np 2.79

Values from the calculation:
* crystal system: cubic
* DFT total energy: -10.6326 eV per atom


(5)
Material: RbDySn2I8
Method: DFT, PBE-GGA
State: optimized geometry

a b c (Å): 7.8049 7.3359 9.7485
angles (deg): 89.84 89.86 88.68
With the nearest neighbours (Å) after each atom.
Sites, in units of the cell vectors:
I1 0.1558 0.7475 0.2160  1 Dy 3.04, 1 Sn 3.22
Rb1 0.0000 0.0000 0.5000  6 I 3.53-3.59
Sn1 0.4998 0.4995 0.7509  6 I 3.12-3.42
I2 0.8442 0.2525 0.7840  1 Dy 3.04, 1 Sn 3.22
I3 0.8433 0.2517 0.2156  1 Dy 3.04, 1 Sn 3.22
I4 0.3772 0.2708 0.5011  2 Sn 3.12-3.14
I5 0.1567 0.7483 0.7844  1 Dy 3.04, 1 Sn 3.22
I6 0.6762 0.7637 0.0002  1 Dy 3.10, 2 Sn 3.40-3.42
Sn2 0.5002 0.5005 0.2491  6 I 3.12-3.42
Dy1 0.0000 0.0000 0.0000  6 I 3.04-3.10
I7 0.3238 0.2363 0.9998  1 Dy 3.10, 2 Sn 3.40-3.42
I8 0.6228 0.7292 0.4989  2 Sn 3.12-3.14

Values from the calculation:
* formation energy (no corrections): -0.915 eV/atom
* crystal system: triclinic


(6)
Material: AgPRu2
Method: DFT, PBE-GGA
State: optimized geometry

a b c (Å): 7.4053 7.4053 7.4053
angles (deg): 157.45 156.21 33.01
With the nearest neighbours (Å) after each atom.
Sites, in units of the cell vectors:
Ru1 0.2725 0.7725 0.5000  4 P 2.34
Ru2 0.0832 0.0832 0.0000  2 P 2.26
Ag1 0.4435 0.4435 0.0000  6 Ru 2.83-2.89, 4 Ag 2.90-3.05
P1 0.7008 0.2008 0.5000  6 Ru 2.26-2.34

Values from the calculation:
* crystal system: orthorhombic
* energy above the lowest structure with this stoichiometry: 90.2 meV/atom